[1]
KTa3Bi: relaxed, GGA-PBE.

Lattice parameters (Å, degrees): 5.3163 5.3163 5.3163 90.00 90.00 90.00
Closest atoms and distances in Å follow each position.
Element x y z (fractional)
1 K 0.5000 0.5000 0.5000  12 Ta 3.76
2 Ta 0.0000 0.5000 0.0000  2 Bi 2.66
3 Ta 0.0000 0.0000 0.5000  2 Bi 2.66
4 Ta 0.5000 0.0000 0.0000  2 Bi 2.66
5 Bi 0.0000 0.0000 0.0000  6 Ta 2.66

Results
VASP energy   -29.0 eV for the cell shown
Formation energy from the elements   2.31 eV/atom
Energy above the lowest structure with this stoichiometry   0.000 eV per atom


[2]
KTa2Bi: relaxed, GGA-PBE.

Lattice parameters (Å, degrees): 8.5967 8.5967 6.7464 50.42 50.42 90.00
Closest atoms and distances in Å follow each position.
Element x y z (fractional)
1 Ta 0.3750 0.3293 0.7500  2 Bi 2.87, 2 Ta 3.03
2 Ta 0.8750 0.9207 0.7500  2 Bi 2.87, 2 Ta 3.03
3 Ta 0.6707 0.1250 0.2500  2 Bi 2.87, 2 Ta 3.03
4 Ta 0.0793 0.6250 0.2500  2 Bi 2.87, 2 Ta 3.03
5 K 0.2500 0.7500 0.5000  2 Bi 2.93
6 K 0.5000 0.5000 0.0000  2 Bi 2.93
7 Bi 0.0000 0.0000 0.0000  4 Ta 2.87, 2 K 2.93
8 Bi 0.7500 0.2500 0.5000  4 Ta 2.87, 2 K 2.93

Results
VASP energy   -44.5 eV for the cell shown
Formation energy from the elements   1.60 eV/atom


[3]
KTaBi2: relaxed, GGA-PBE.

Lattice parameters (Å, degrees): 5.3397 5.3397 5.3397 60.00 60.00 60.00
Closest atoms and distances in Å follow each position.
Element x y z (fractional)
1 K 0.0000 0.0000 0.0000  8 Bi 3.27
2 Bi 0.2500 0.2500 0.2500  4 Ta 3.27, 4 K 3.27
3 Bi 0.7500 0.7500 0.7500  4 Ta 3.27, 4 K 3.27
4 Ta 0.5000 0.5000 0.5000  8 Bi 3.27

Results
VASP energy   -18.5 eV for the cell shown
Formation energy from the elements   0.56 eV/atom
Energy above the lowest structure with this stoichiometry   0.142 eV per atom


[4]
KTaV2Bi: relaxed, GGA-PBE.

Lattice parameters (Å, degrees): 4.7089 5.0252 4.7089 90.00 90.00 90.00
Closest atoms and distances in Å follow each position.
Element x y z (fractional)
1 V 0.0000 0.0000 0.5000  2 K 2.35
2 V 0.5000 0.0000 0.0000  2 K 2.35
3 Ta 0.0000 0.5000 0.0000  2 K 2.51
4 Bi 0.5000 0.5000 0.5000  4 Ta 3.33, 8 V 3.44
5 K 0.0000 0.0000 0.0000  4 V 2.35, 2 Ta 2.51

Results
VASP energy   -22.7 eV for the cell shown
Formation energy from the elements   2.48 eV/atom


[5]
KTbBi2: relaxed, GGA-PBE.

Lattice parameters (Å, degrees): 4.5114 4.5114 9.1074 75.66 75.66 60.00
Closest atoms and distances in Å follow each position.
Element x y z (fractional)
1 Tb 0.0000 0.0000 0.0000  6 Bi 3.16
2 Bi 0.7350 0.7350 0.7950  3 Tb 3.16
3 Bi 0.2650 0.2650 0.2050  3 Tb 3.16
4 K 0.5000 0.5000 0.5000  6 Bi 3.66

Results
VASP energy   -15.0 eV for the cell shown
Formation energy from the elements   -0.38 eV/atom
Energy above the lowest structure with this stoichiometry   0.150 eV per atom


[6]
KTbBi2: relaxed, GGA-PBE.

Lattice parameters (Å, degrees): 4.4896 4.4896 9.2090 75.89 75.89 60.00
Closest atoms and distances in Å follow each position.
Element x y z (fractional)
1 Tb 0.6677 0.6677 0.9970  6 Bi 3.16-3.18
2 K 0.4984 0.4984 0.5047  6 Bi 3.64-3.71
3 Bi 0.0688 0.0688 0.7935  3 Tb 3.16
4 Bi 0.2650 0.2650 0.2049  3 Tb 3.18

Results
VASP energy   -15.0 eV for the cell shown
Formation energy from the elements   -0.37 eV/atom
Energy above the lowest structure with this stoichiometry   0.156 eV per atom


[7]
KTbBi2: relaxed, GGA-PBE.

Lattice parameters (Å, degrees): 3.7086 3.7086 9.6279 90.00 90.00 90.00
Closest atoms and distances in Å follow each position.
Element x y z (fractional)
1 K 0.5000 0.5000 0.5000  4 K 3.71, 8 Bi 3.75
2 Bi 0.0000 0.0000 0.7780  4 Tb 3.38, 4 Bi 3.71, 4 K 3.75
3 Bi 0.0000 0.0000 0.2220  4 Tb 3.38, 4 Bi 3.71, 4 K 3.75
4 Tb 0.5000 0.5000 0.0000  8 Bi 3.38, 4 Tb 3.71

Results
VASP energy   -15.6 eV for the cell shown
Formation energy from the elements   -0.53 eV/atom
Energy above the lowest structure with this stoichiometry   0.000 eV per atom


[8]
K3Tb2BiTe6: relaxed, GGA-PBE.

Lattice parameters (Å, degrees): 7.8756 7.8756 8.6580 98.72 98.72 120.00
Closest atoms and distances in Å follow each position.
Element x y z (fractional)
1 Te 0.7320 0.7320 0.2089  2 Tb 3.13, 1 Bi 3.17
2 Te 0.4075 0.0701 0.2098  2 Tb 3.13, 1 Bi 3.17
3 Te 0.9299 0.5925 0.7902  2 Tb 3.13, 1 Bi 3.17
4 Te 0.5925 0.9299 0.7902  2 Tb 3.13, 1 Bi 3.17
5 Te 0.0701 0.4075 0.2098  2 Tb 3.13, 1 Bi 3.17
6 Te 0.2680 0.2680 0.7911  2 Tb 3.13, 1 Bi 3.17
7 Bi 0.0000 0.0000 0.0000  6 Te 3.17
8 K 0.8355 0.1645 0.5000  6 Te 3.55-3.57
9 K 0.5000 0.5000 0.5000  6 Te 3.53-3.56
10 K 0.1645 0.8355 0.5000  6 Te 3.55-3.57
11 Tb 0.6670 0.3330 0.0000  6 Te 3.13
12 Tb 0.3330 0.6670 0.0000  6 Te 3.13

Results
VASP energy   -49.0 eV for the cell shown
Formation energy without anion corrections   -1.14 eV per atom


[9]
K3TbBi2Te6: relaxed, GGA-PBE.

Lattice parameters (Å, degrees): 7.9257 7.9257 8.6811 98.75 98.75 120.00
Closest atoms and distances in Å follow each position.
Element x y z (fractional)
1 K 0.5000 0.5000 0.5000  6 Te 3.56-3.59
2 K 0.8301 0.1699 0.5000  6 Te 3.56-3.58
3 K 0.1699 0.8301 0.5000  6 Te 3.56-3.58
4 Bi 0.6662 0.3338 0.0000  6 Te 3.17-3.18
5 Bi 0.3338 0.6662 0.0000  6 Te 3.17-3.18
6 Te 0.7410 0.7410 0.2109  1 Tb 3.14, 2 Bi 3.17
7 Te 0.3992 0.0697 0.2096  1 Tb 3.13, 2 Bi 3.17-3.18
8 Te 0.6008 0.9303 0.7904  1 Tb 3.13, 2 Bi 3.17-3.18
9 Te 0.0697 0.3992 0.2096  1 Tb 3.13, 2 Bi 3.17-3.18
10 Te 0.9303 0.6008 0.7904  1 Tb 3.13, 2 Bi 3.17-3.18
11 Te 0.2590 0.2590 0.7891  1 Tb 3.14, 2 Bi 3.17
12 Tb 0.0000 0.0000 0.0000  6 Te 3.13-3.14

Results
VASP energy   -45.1 eV for the cell shown
Formation energy without anion corrections   -0.88 eV per atom


[10]
K3Tb3BiTe8: relaxed, GGA-PBE.

Lattice parameters (Å, degrees): 8.8711 8.8941 9.9104 116.82 90.00 119.87
Closest atoms and distances in Å follow each position.
Element x y z (fractional)
1 K 0.0000 0.0000 0.0000  6 Te 3.55-3.57
2 K 0.5000 0.5000 0.0000  6 Te 3.55-3.57
3 K 0.0000 0.5000 0.0000  6 Te 3.55-3.57
4 Te 0.7367 0.4734 0.7100  3 Tb 3.12
5 Te 0.7288 0.9694 0.7098  2 Tb 3.10, 1 Bi 3.17
6 Te 0.2407 0.4812 0.7100  2 Tb 3.10, 1 Bi 3.17
7 Te 0.2712 0.0306 0.2902  2 Tb 3.10, 1 Bi 3.17
8 Te 0.2406 0.9694 0.7099  2 Tb 3.10, 1 Bi 3.17
9 Te 0.7594 0.0306 0.2901  2 Tb 3.10, 1 Bi 3.17
10 Te 0.2633 0.5266 0.2900  3 Tb 3.12
11 Te 0.7593 0.5188 0.2900  2 Tb 3.10, 1 Bi 3.17
12 Tb 0.0000 0.5000 0.5000  6 Te 3.10-3.12
13 Tb 0.5000 0.0000 0.5000  6 Te 3.10-3.12
14 Tb 0.5000 0.5000 0.5000  6 Te 3.10-3.12
15 Bi 0.0000 0.0000 0.5000  6 Te 3.17

Results
VASP energy   -62.9 eV for the cell shown
Formation energy without anion corrections   -1.12 eV per atom


[11]
K4Tb3BiTe8: relaxed, GGA-PBE.

Lattice parameters (Å, degrees): 9.0789 9.7740 9.0795 117.70 120.00 90.00
Closest atoms and distances in Å follow each position.
Element x y z (fractional)
1 Te 0.2386 0.7096 0.9712  2 Tb 3.13, 1 Bi 3.17
2 Te 0.7326 0.7096 0.9712  2 Tb 3.13, 1 Bi 3.17
3 Te 0.2637 0.2914 0.5275  3 Tb 3.13-3.14
4 Te 0.7614 0.2904 0.5229  2 Tb 3.13, 1 Bi 3.17
5 Te 0.2674 0.2904 0.0288  2 Tb 3.13, 1 Bi 3.17
6 Te 0.7363 0.7086 0.4725  3 Tb 3.13-3.14
7 Te 0.7614 0.2904 0.0288  2 Tb 3.13, 1 Bi 3.17
8 Te 0.2386 0.7096 0.4771  2 Tb 3.13, 1 Bi 3.17
9 Tb 0.0000 0.5000 0.5000  6 Te 3.13
10 Tb 0.5000 0.5000 0.5000  6 Te 3.13
11 Tb 0.5000 0.5000 0.0000  6 Te 3.13-3.14
12 K 0.0000 0.0000 0.0000  6 Te 3.55-3.56
13 K 0.5000 0.0000 0.0000  6 Te 3.53
14 K 0.5000 0.0000 0.5000  6 Te 3.56
15 K 0.0000 0.0000 0.5000  6 Te 3.56
16 Bi 0.0000 0.5000 0.0000  6 Te 3.17

Results
VASP energy   -66.6 eV for the cell shown
Formation energy without anion corrections   -1.21 eV per atom


[12]
K3TcBi: relaxed, GGA-PBE.

Lattice parameters (Å, degrees): 6.7727 6.7727 6.7727 90.00 90.00 90.00
Closest atoms and distances in Å follow each position.
Element x y z (fractional)
1 K 0.0000 0.0000 0.5000  2 Bi 3.39
2 K 0.5000 0.0000 0.0000  2 Bi 3.39
3 K 0.0000 0.5000 0.0000  2 Bi 3.39
4 Bi 0.0000 0.0000 0.0000  6 K 3.39
5 Tc 0.5000 0.5000 0.5000  12 K 4.79

Results
VASP energy   -12.5 eV for the cell shown
Formation energy from the elements   1.01 eV/atom
Energy above the lowest structure with this stoichiometry   0.000 eV per atom


[13]
KTcBi2: relaxed, GGA-PBE.

Lattice parameters (Å, degrees): 6.9556 6.9556 8.9602 67.16 67.16 90.00
Closest atoms and distances in Å follow each position.
Element x y z (fractional)
1 Bi 0.8750 0.0750 0.7500  2 Tc 2.58
2 Bi 0.3750 0.1750 0.7500  2 Tc 2.58
3 Bi 0.8250 0.1250 0.2500  2 Tc 2.58
4 Bi 0.9250 0.6250 0.2500  2 Tc 2.58
5 K 0.2500 0.7500 0.5000  4 Bi 4.04
6 K 0.5000 0.5000 0.0000  4 Bi 4.04
7 Tc 0.0000 0.0000 0.0000  4 Bi 2.58
8 Tc 0.7500 0.2500 0.5000  4 Bi 2.58

Results
VASP energy   -35.1 eV for the cell shown
Formation energy from the elements   0.42 eV/atom
Energy above the lowest structure with this stoichiometry   0.000 eV per atom


[14]
KTc2Bi: relaxed, GGA-PBE.

Lattice parameters (Å, degrees): 4.7729 4.7729 10.5308 76.90 76.90 90.00
Closest atoms and distances in Å follow each position.
Element x y z (fractional)
1 Tc 0.9200 0.6250 0.2500  2 Tc 2.42
2 Tc 0.8300 0.1250 0.2500  2 Tc 2.42
3 Tc 0.3750 0.1700 0.7500  2 Tc 2.42
4 Tc 0.8750 0.0800 0.7500  2 Tc 2.42
5 K 0.5000 0.5000 0.0000  4 Bi 3.37, 4 Tc 3.52
6 K 0.2500 0.7500 0.5000  4 Bi 3.37, 4 Tc 3.52
7 Bi 0.0000 0.0000 0.0000  4 Tc 2.77
8 Bi 0.7500 0.2500 0.5000  4 Tc 2.77

Results
VASP energy   -42.6 eV for the cell shown
Formation energy from the elements   1.10 eV/atom


[15]
KTcBi2: relaxed, GGA-PBE.

Lattice parameters (Å, degrees): 5.1500 5.1500 5.1500 60.00 60.00 60.00
Closest atoms and distances in Å follow each position.
Element x y z (fractional)
1 Tc 0.5000 0.5000 0.5000  8 Bi 3.15
2 Bi 0.2500 0.2500 0.2500  4 Tc 3.15, 4 K 3.15
3 Bi 0.7500 0.7500 0.7500  4 K 3.15, 4 Tc 3.15
4 K 0.0000 0.0000 0.0000  8 Bi 3.15

Results
VASP energy   -17.1 eV for the cell shown
Formation energy from the elements   0.54 eV/atom
Energy above the lowest structure with this stoichiometry   0.122 eV per atom


[16]
KBiTe: relaxed, GGA-PBE.

Lattice parameters (Å, degrees): 6.6228 8.6019 8.6019 90.00 90.00 90.00
Closest atoms and distances in Å follow each position.
Element x y z (fractional)
1 Bi 0.0000 0.7801 0.0000  2 Te 3.09
2 Bi 0.0000 0.2199 0.0000  2 Te 3.09
3 Bi 0.5000 0.0000 0.2199  2 Te 3.09
4 Bi 0.5000 0.0000 0.7801  2 Te 3.09
5 K 0.0000 0.2140 0.5000  4 Te 3.31-3.42, 1 K 3.68
6 K 0.5000 0.5000 0.2140  4 Te 3.31-3.42, 1 K 3.68
7 K 0.5000 0.5000 0.7860  4 Te 3.31-3.42, 1 K 3.68
8 K 0.0000 0.7860 0.5000  4 Te 3.31-3.42, 1 K 3.68
9 Te 0.5000 0.7760 0.5000  2 Bi 3.09, 4 K 3.31-3.42
10 Te 0.0000 0.5000 0.7760  2 Bi 3.09, 4 K 3.31-3.42
11 Te 0.0000 0.5000 0.2240  2 Bi 3.09, 4 K 3.31-3.42
12 Te 0.5000 0.2240 0.5000  2 Bi 3.09, 4 K 3.31-3.42

Results
VASP energy   -36.1 eV for the cell shown
Formation energy without anion corrections   -0.30 eV per atom
Energy above the lowest structure with this stoichiometry   0.080 eV per atom


[17]
KBi3Te: relaxed, GGA-PBE.

Lattice parameters (Å, degrees): 5.9725 5.9725 5.9725 90.00 90.00 90.00
Closest atoms and distances in Å follow each position.
Element x y z (fractional)
1 Bi 0.0000 0.5000 0.0000  2 K 2.99
2 Bi 0.0000 0.0000 0.5000  2 K 2.99
3 Bi 0.5000 0.0000 0.0000  2 K 2.99
4 Te 0.5000 0.5000 0.5000  12 Bi 4.22
5 K 0.0000 0.0000 0.0000  6 Bi 2.99

Results
VASP energy   -10.0 eV for the cell shown
Formation energy without anion corrections   1.17 eV per atom
Energy above the lowest structure with this stoichiometry   0.874 eV per atom


[18]
K2Bi2Te: relaxed, GGA-PBE.

Lattice parameters (Å, degrees): 8.4096 8.4096 5.5296 90.00 90.00 90.00
Closest atoms and distances in Å follow each position.
Element x y z (fractional)
1 Bi 0.3708 0.8708 0.0000  1 Bi 3.07, 2 Te 3.30
2 Bi 0.8708 0.6292 0.0000  1 Bi 3.07, 2 Te 3.30
3 Bi 0.1292 0.3708 0.0000  1 Bi 3.07, 2 Te 3.30
4 Bi 0.6292 0.1292 0.0000  1 Bi 3.07, 2 Te 3.30
5 Te 0.0000 0.0000 0.0000  4 Bi 3.30
6 Te 0.5000 0.5000 0.0000  4 Bi 3.30
7 K 0.6756 0.8244 0.5000  6 Bi 3.61-3.79
8 K 0.3244 0.1756 0.5000  6 Bi 3.61-3.79
9 K 0.1756 0.6756 0.5000  6 Bi 3.61-3.79
10 K 0.8244 0.3244 0.5000  6 Bi 3.61-3.79

Results
VASP energy   -29.6 eV for the cell shown
Formation energy without anion corrections   -0.35 eV per atom


[19]
KBi2Te4: relaxed, GGA-PBE.

Lattice parameters (Å, degrees): 4.3845 7.2135 17.5323 90.00 90.00 107.69
Closest atoms and distances in Å follow each position.
Element x y z (fractional)
1 Te 0.5000 0.0000 0.5000  4 Bi 3.26
2 Te 0.8008 0.6015 0.4032  3 Bi 3.08-3.15
3 Te 0.1992 0.3985 0.9032  3 Bi 3.08-3.15
4 Te 0.8008 0.6015 0.0968  3 Bi 3.08-3.15
5 Te 0.0905 0.1810 0.2500  2 Bi 3.11
6 Te 0.5000 0.0000 0.0000  4 Bi 3.26
7 Te 0.9095 0.8190 0.7500  2 Bi 3.11
8 Te 0.1992 0.3985 0.5968  3 Bi 3.08-3.15
9 Bi 0.8549 0.7097 0.9224  6 Te 3.08-3.26
10 Bi 0.1451 0.2903 0.0776  6 Te 3.08-3.26
11 Bi 0.1451 0.2903 0.4224  6 Te 3.08-3.26
12 Bi 0.8549 0.7097 0.5776  6 Te 3.08-3.26
13 K 0.3831 0.7662 0.2500  7 Te 3.60-4.02
14 K 0.6169 0.2338 0.7500  7 Te 3.60-4.02

Results
VASP energy   -47.3 eV for the cell shown
Formation energy without anion corrections   -0.32 eV per atom


[20]
KBiTe2: relaxed, GGA-PBE.

Lattice parameters (Å, degrees): 4.5664 4.5664 8.8406 75.03 75.03 60.00
Closest atoms and distances in Å follow each position.
Element x y z (fractional)
1 Te 0.0706 0.0706 0.7881  3 Bi 3.18
2 Te 0.2632 0.2632 0.2104  3 Bi 3.18
3 Bi 0.6670 0.6670 0.9989  6 Te 3.18
4 K 0.4991 0.4991 0.5026  6 Te 3.57-3.61

Results
VASP energy   -13.7 eV for the cell shown
Formation energy without anion corrections   -0.62 eV per atom